## Sc7CBr12 (PBE)

Data for a geometry-optimized Sc7CBr12 structure.

abc: 13.9852 13.9852 9.3164
angles: 90.00 90.00 120.00
With the nearest neighbours (Å) after each atom.
Space group R3 (No. 146, hexagonal axes)
Unique sites:
Sc 0.0000 0.0000 0.0000  6 Br 2.66-2.78
Sc 0.0429 0.1525 0.3895  1 C 2.27
Sc 0.1477 0.1062 0.6683  1 C 2.29
C 0.0000 0.0000 0.5226  6 Sc 2.27-2.29
Br 0.0309 0.5898 0.1891  2 Sc 2.67-2.75
Br 0.0530 0.1843 0.8568  3 Sc 2.66-2.75
Br 0.1104 0.3636 0.1948  2 Sc 2.70-2.71
Br 0.1718 0.1224 0.1906  3 Sc 2.74-2.78

Summary:
Calculated density, g/cm3: 4.06
Formation energy from raw total energies, meV/atom: -1518

---

## Sc2CBr (PBE)

Data for a geometry-optimized Sc2CBr structure.

abc: 5.7946 5.7946 10.2520
angles: 90.00 90.00 90.00
With the nearest neighbours (Å) after each atom.
Space group I-42d (No. 122)
Unique sites:
Sc 0.1617 0.2500 0.1250  2 C 2.15
C 0.0000 0.0000 0.0000  4 Sc 2.15
Br 0.0000 0.0000 0.5000  4 Sc 2.75

Summary:
Calculated density, g/cm3: 3.51
Formation energy from raw total energies, meV/atom: -574

---

## Sc3CBr (PBE)

Data for a geometry-optimized Sc3CBr structure.

abc: 4.5947 4.5947 4.5947
angles: 90.00 90.00 90.00
With the nearest neighbours (Å) after each atom.
Space group Pm-3m (No. 221)
Unique sites:
Sc 0.0000 0.0000 0.5000  2 C 2.30
C 0.0000 0.0000 0.0000  6 Sc 2.30
Br 0.5000 0.5000 0.5000  12 Sc 3.25

Summary:
Energy relative to the lowest polymorph listed for this composition, meV/atom: 0
Calculated density, g/cm3: 3.88
Formation energy from raw total energies, meV/atom: -279

---

## ScC3Br (PBE)

Data for a geometry-optimized ScC3Br structure.

abc: 4.4354 4.4354 4.4354
angles: 90.00 90.00 90.00
With the nearest neighbours (Å) after each atom.
Space group Pm-3m (No. 221)
Unique sites:
Sc 0.0000 0.0000 0.0000  6 C 2.22
C 0.0000 0.0000 0.5000  2 Sc 2.22
Br 0.5000 0.5000 0.5000  12 C 3.14

Summary:
Energy relative to the lowest polymorph listed for this composition, meV/atom: 0
Calculated density, g/cm3: 3.06
Formation energy from raw total energies, meV/atom: 2691

---

## Sc2CBr (PBE)

Data for a geometry-optimized Sc2CBr structure.

abc: 6.3577 6.3577 6.3577
angles: 90.00 90.00 90.00
With the nearest neighbours (Å) after each atom.
Space group Fm-3m (No. 225)
Unique sites:
Sc 0.2500 0.2500 0.2500  4 Br 2.75, 4 C 2.75
C 0.0000 0.0000 0.0000  8 Sc 2.75
Br 0.0000 0.0000 0.5000  8 Sc 2.75

Summary:
Calculated density, g/cm3: 4.70
Formation energy from raw total energies, meV/atom: 66

---

## Sc2CBr2 (PBE)

Data for a geometry-optimized Sc2CBr2 structure.

abc: 6.1058 3.5250 10.7277
angles: 90.00 102.28 90.00
With the nearest neighbours (Å) after each atom.
Space group C2/m (No. 12)
Unique sites:
Sc 0.2099 0.0000 0.1159  3 C 2.37
C 0.0000 0.5000 0.0000  6 Sc 2.37
Br 0.0577 0.0000 0.7084  3 Sc 2.74-2.75

Summary:
Calculated density, g/cm3: 3.85
Formation energy from raw total energies, meV/atom: -1280

---

## Sc3CBr3 (PBE)

Data for a geometry-optimized Sc3CBr3 structure.

abc: 10.4631 10.4631 10.4631
angles: 90.00 90.00 90.00
With the nearest neighbours (Å) after each atom.
Space group I4_132 (No. 214)
Unique sites:
Sc 0.0978 0.3478 0.1250  2 C 2.35
C 0.1250 0.1250 0.1250  6 Sc 2.35
Br 0.1191 0.1309 0.6250  4 Sc 2.71-2.92

Summary:
Calculated density, g/cm3: 4.48
Formation energy from raw total energies, meV/atom: -1253

---

## ScC3Br (PBE)

Data for a geometry-optimized ScC3Br structure.

abc: 3.9770 3.9770 3.9770
angles: 90.00 90.00 90.00
With the nearest neighbours (Å) after each atom.
Space group Pm-3m (No. 221)
Unique sites:
Sc 0.0000 0.0000 0.0000  12 C 2.81
C 0.0000 0.5000 0.5000  2 Br 1.99
Br 0.5000 0.5000 0.5000  6 C 1.99

Summary:
Energy relative to the lowest polymorph listed for this composition, meV/atom: 6
Calculated density, g/cm3: 4.25
Formation energy from raw total energies, meV/atom: 2697